{"formula": "MgAuN2", "functional": "PBE-GGA", "state": "relaxed", "lattice_angstrom": [[-1.5217, -0.6498, 6.3899], [0.0279, 2.0739, 6.2663], [-3.0187, 1.9683, 5.5301]], "species": ["Mg", "Au", "N", "N"], "fractional_positions": [[0.5000, 0.5000, 0.5000], [0.0000, 0.0000, 0.0000], [0.8992, 0.8992, 0.8992], [0.1008, 0.1008, 0.1008]], "raw_formation_energy_ev_per_atom": 0.82, "vol_a3_per_atom": 13.5, "magmom_total_mub_per_cell": 0.0}